Below is an optimized crystal structure of RbAl2Br, with properties calculated at the PBE-GGA level.

Energy relative to the elements, uncorrected ... -124.6 meV per atom
Space-group type ... I-42d, No. 122
N(E_F) ... 3.1 states/eV/cell
Energy above the most stable polymorph in this dataset ... 0.00 kcal/mol of atoms

abc: 12.2502 12.2502 12.2502
angles: 157.33 157.33 32.28
Last column: nearest neighbours and their distance in Å.
Fractional coordinates of all 8 atoms:
Rb1 0.0000 0.0000 0.0000  4 Br 3.41, 4 Al 3.70
Rb2 0.7500 0.2500 0.5000  4 Br 3.41, 4 Al 3.70
Al1 0.2672 0.6250 0.1422  2 Al 2.62
Al2 0.3750 0.5172 0.6422  2 Al 2.62
Al3 0.4828 0.1250 0.8578  2 Al 2.62
Al4 0.8750 0.7328 0.3578  2 Al 2.62
Br1 0.2500 0.7500 0.5000  4 Al 3.22, 4 Rb 3.41
Br2 0.5000 0.5000 0.0000  4 Al 3.22, 4 Rb 3.41



Below is an optimized crystal structure of Rb2AlBr, with properties calculated at the PBE-GGA level.

Energy relative to the elements, uncorrected ... -235.2 meV per atom
Space-group type ... Fm-3m, No. 225
N(E_F) ... 6.1 states/eV/cell
Energy above the most stable polymorph in this dataset ... 1.21 kcal/mol of atoms

abc: 6.2531 6.2531 6.2531
angles: 60.00 60.00 60.00
Last column: nearest neighbours and their distance in Å.
Fractional coordinates of all 4 atoms:
Rb1 0.2500 0.2500 0.2500  4 Br 3.83, 4 Al 3.83
Rb2 0.7500 0.7500 0.7500  4 Br 3.83, 4 Al 3.83
Al1 0.0000 0.0000 0.0000  8 Rb 3.83
Br1 0.5000 0.5000 0.5000  8 Rb 3.83



Below is an optimized crystal structure of RbAlBr4, with properties calculated at the PBE-GGA level.

Energy relative to the elements, uncorrected ... -1391.5 meV per atom
Space-group type ... I4_1/amd, No. 141
N(E_F) ... 0.0 states/eV/cell
Energy above the most stable polymorph in this dataset ... 0.28 kcal/mol of atoms

abc: 8.9143 8.9143 8.9143
angles: 103.97 103.97 121.13
Last column: nearest neighbours and their distance in Å.
Fractional coordinates of all 12 atoms:
Rb1 0.3750 0.6250 0.7500  8 Br 3.54-3.70
Rb2 0.6250 0.3750 0.2500  8 Br 3.54-3.70
Al1 0.1250 0.8750 0.2500  4 Br 2.33
Al2 0.8750 0.1250 0.7500  4 Br 2.33
Br1 0.1388 0.7176 0.4212  1 Al 2.33
Br2 0.2036 0.2824 0.9212  1 Al 2.33
Br3 0.2824 0.2036 0.4212  1 Al 2.33
Br4 0.2824 0.8612 0.0788  1 Al 2.33
Br5 0.7176 0.1388 0.9212  1 Al 2.33
Br6 0.7176 0.7964 0.5788  1 Al 2.33
Br7 0.7964 0.7176 0.0788  1 Al 2.33
Br8 0.8612 0.2824 0.5788  1 Al 2.33